Entry from the Alexandria database: a relaxed structure of FeIr3Pt (PBE).

* magnetic moment: 0.00 μB per formula unit
* DFT formation energy: 143 kJ per mole of atoms
* calculated volume: 17.1 A^3/atom
* ΔE to the lowest computed polymorph: 1290 meV/atom

a b c (Å): 4.406 4.406 4.406
angles (deg): 90.00 90.00 90.00
Positions (direct):
Ir: 0.000 0.500 0.000
Ir: 0.000 0.000 0.500
Ir: 0.500 0.000 0.000
Fe: 0.000 0.000 0.000
Pt: 0.500 0.500 0.500